# 1
DFT (SCAN) results for ZnMo2Au at its PBEsol-relaxed geometry.

Results
ΔE_f (kJ per mole of atoms): 5.2
Total magnetization (Bohr magnetons per cell): 0.00
Final energy (eV/atom): -38.057
Symmetry: No. 6

Cell lengths 2.6961, 4.3067, 5.3093 Å; angles 90.00, 97.21, 90.00 degrees
Last column: nearest neighbours and their distance in Å.
Element x y z (fractional)
Zn 0.0000 0.0000 0.0000  2 Au 2.54, 3 Mo 2.61-2.79, 2 Zn 2.70
Mo 0.4177 0.5000 0.7670  4 Mo 2.62-2.70, 2 Au 2.76-2.86, 4 Zn 2.79-2.85
Mo 0.6294 0.0000 0.5211  1 Zn 2.61, 4 Mo 2.62-2.70, 4 Au 2.90-2.91
Au 0.0687 0.5000 0.2549  2 Zn 2.54, 2 Au 2.70, 1 Mo 2.76

=====

# 2
DFT (SCAN) results for Sb2Rh2Se at its PBEsol-relaxed geometry.

Results
Raw formation energy (eV/atom): -0.07
Total magnetization (Bohr magnetons per cell): 0.00
Final energy (eV/atom): -32.499
Symmetry: No. 139

Cell lengths 6.6701, 6.6701, 6.6701 Å; angles 144.16, 144.16, 51.59 degrees
Last column: nearest neighbours and their distance in Å.
Element x y z (fractional)
Sb 0.1191 0.1191 0.0000  4 Rh 2.59, 1 Sb 2.86
Sb 0.8809 0.8809 0.0000  4 Rh 2.59, 1 Sb 2.86
Rh 0.2500 0.7500 0.5000  4 Sb 2.59
Rh 0.7500 0.2500 0.5000  4 Sb 2.59
Se 0.5000 0.5000 0.0000  8 Sb 3.24

=====

# 3
DFT (SCAN) results for Cr2NiPt at its PBEsol-relaxed geometry.

Results
ΔE_f (kJ per mole of atoms): 17.2
Total magnetization (Bohr magnetons per cell): 0.00
Final energy (eV/atom): -30.606
Symmetry: No. 166

Cell lengths 8.5408, 8.5408, 8.5408 Å; angles 17.40, 17.40, 17.40 degrees
Last column: nearest neighbours and their distance in Å.
Element x y z (fractional)
Cr 0.2459 0.2459 0.2459  3 Ni 2.49, 6 Cr 2.58, 3 Pt 2.66
Cr 0.7541 0.7541 0.7541  3 Ni 2.49, 6 Cr 2.58, 3 Pt 2.66
Ni 0.5000 0.5000 0.5000  6 Cr 2.49, 6 Ni 2.58
Pt 0.0000 0.0000 0.0000  6 Pt 2.58, 6 Cr 2.66

=====

# 4
DFT (SCAN) results for MnGa2Au at its PBEsol-relaxed geometry.

Results
ΔE_f (kJ per mole of atoms): -9.9
Total magnetization (Bohr magnetons per cell): 3.57
Final energy (eV/atom): -30.129
Symmetry: No. 225

Cell lengths 4.3993, 4.3993, 4.3993 Å; angles 60.00, 60.00, 60.00 degrees
Last column: nearest neighbours and their distance in Å.
Element x y z (fractional)
Mn 0.0000 0.0000 0.0000  8 Ga 2.69
Ga 0.2500 0.2500 0.2500  4 Mn 2.69, 4 Au 2.69
Ga 0.7500 0.7500 0.7500  4 Mn 2.69, 4 Au 2.69
Au 0.5000 0.5000 0.5000  8 Ga 2.69

=====

# 5
DFT (SCAN) results for Y2AlH2 at its PBEsol-relaxed geometry.

Results
Total magnetization (Bohr magnetons per cell): 0.00
Final energy (eV/atom): -14.753
Symmetry: No. 139

Cell lengths 6.5919, 6.5919, 6.5919 Å; angles 148.08, 148.08, 45.77 degrees
Last column: nearest neighbours and their distance in Å.
Element x y z (fractional)
Y 0.1481 0.1481 0.0000  4 H 2.20
Y 0.8519 0.8519 0.0000  4 H 2.20
Al 0.5000 0.5000 0.0000  8 Y 3.13
H 0.2500 0.7500 0.5000  4 Y 2.20
H 0.7500 0.2500 0.5000  4 Y 2.20

=====

# 6
DFT (SCAN) results for MnZn2Tc at its PBEsol-relaxed geometry.

Results
Polymorph energy (0 for the lowest one) (eV per atom): 0.0974
ΔE_f (kJ per mole of atoms): 9.6
Total magnetization (Bohr magnetons per cell): 0.00
Final energy (eV/atom): -19.986
Symmetry: No. 160

Cell lengths 8.7252, 8.7252, 8.7252 Å; angles 17.43, 17.43, 17.43 degrees
Last column: nearest neighbours and their distance in Å.
Element x y z (fractional)
Mn 0.0000 0.0000 0.0000  3 Tc 2.44, 3 Zn 2.59, 6 Mn 2.64
Zn 0.5038 0.5038 0.5038  9 Zn 2.64-2.76, 3 Tc 2.75
Zn 0.7480 0.7480 0.7480  3 Mn 2.59, 9 Zn 2.64-2.76
Tc 0.2592 0.2592 0.2592  3 Mn 2.44, 6 Tc 2.64

=====

# 7
DFT (SCAN) results for MnCrRhPb2 at its PBEsol-relaxed geometry.

Results
ΔE_f (kJ per mole of atoms): 74.7
Total magnetization (Bohr magnetons per cell): 7.53
Final energy (eV/atom): -43.621
Symmetry: No. 123

Cell lengths 5.0251, 5.0251, 4.4157 Å; angles 90.00, 90.00, 90.00 degrees
Last column: nearest neighbours and their distance in Å.
Element x y z (fractional)
Mn 0.0000 0.0000 0.0000  2 Rh 2.21
Cr 0.5000 0.5000 0.5000  8 Pb 3.34, 4 Rh 3.55
Rh 0.0000 0.0000 0.5000  2 Mn 2.21
Pb 0.0000 0.5000 0.0000  2 Mn 2.51
Pb 0.5000 0.0000 0.0000  2 Mn 2.51

=====

# 8
DFT (SCAN) results for SrZr2Rh at its PBEsol-relaxed geometry.

Results
Polymorph energy (0 for the lowest one) (eV per atom): 0.5124
ΔE_f (kJ per mole of atoms): 29.0
Total magnetization (Bohr magnetons per cell): 0.00
Final energy (eV/atom): -29.060
Symmetry: No. 139

Cell lengths 5.9465, 5.9465, 5.9465 Å; angles 139.76, 139.76, 58.22 degrees
Last column: nearest neighbours and their distance in Å.
Element x y z (fractional)
Sr 0.0000 0.0000 0.0000  4 Rh 2.89
Zr 0.2500 0.7500 0.5000  4 Zr 2.89
Zr 0.7500 0.2500 0.5000  4 Zr 2.89
Rh 0.5000 0.5000 0.0000  4 Sr 2.89

=====

# 9
DFT (SCAN) results for TlPBrO2 at its PBEsol-relaxed geometry.

Results
Raw formation energy (eV/atom): 0.54
Total magnetization (Bohr magnetons per cell): 0.00
Final energy (eV/atom): -22.395
Symmetry: No. 123

Cell lengths 3.9548, 3.9548, 5.0656 Å; angles 90.00, 90.00, 90.00 degrees
Last column: nearest neighbours and their distance in Å.
Element x y z (fractional)
Tl 0.0000 0.0000 0.0000  4 P 2.80
P 0.5000 0.5000 0.0000  2 Br 2.53, 4 Tl 2.80
Br 0.5000 0.5000 0.5000  4 O 1.98
O 0.0000 0.5000 0.5000  2 Br 1.98
O 0.5000 0.0000 0.5000  2 Br 1.98

=====

# 10
DFT (SCAN) results for Na3TiW at its PBEsol-relaxed geometry.

Results
ΔE_f (kJ per mole of atoms): 200.3
Total magnetization (Bohr magnetons per cell): 7.86
Final energy (eV/atom): -17.596
Symmetry: No. 221

Cell lengths 5.7137, 5.7137, 5.7137 Å; angles 90.00, 90.00, 90.00 degrees
Last column: nearest neighbours and their distance in Å.
Element x y z (fractional)
Na 0.0000 0.0000 0.5000  2 W 2.86
Na 0.0000 0.5000 0.0000  2 W 2.86
Na 0.5000 0.0000 0.0000  2 W 2.86
Ti 0.5000 0.5000 0.5000  12 Na 4.04
W 0.0000 0.0000 0.0000  6 Na 2.86

=====

# 11
DFT (SCAN) results for Mn2NiAu at its PBEsol-relaxed geometry.

Results
Polymorph energy (0 for the lowest one) (eV per atom): 0.0688
ΔE_f (kJ per mole of atoms): -27.9
Total magnetization (Bohr magnetons per cell): 8.24
Final energy (eV/atom): -30.749
Symmetry: No. 119

Cell lengths 4.6038, 4.6038, 4.6038 Å; angles 132.50, 132.50, 69.45 degrees
Last column: nearest neighbours and their distance in Å.
Element x y z (fractional)
Mn 0.0000 0.0000 0.0000  4 Ni 2.62, 4 Mn 2.65, 4 Au 2.65
Mn 0.7500 0.2500 0.5000  4 Au 2.62, 4 Mn 2.65, 4 Ni 2.65
Ni 0.5000 0.5000 0.0000  8 Mn 2.62-2.65, 4 Au 2.65
Au 0.2500 0.7500 0.5000  8 Mn 2.62-2.65, 4 Ni 2.65

=====

# 12
DFT (SCAN) results for CaSc2Pb at its PBEsol-relaxed geometry.

Results
ΔE_f (kJ per mole of atoms): -13.2
Total magnetization (Bohr magnetons per cell): 1.96
Final energy (eV/atom): -28.616
Symmetry: No. 216

Cell lengths 5.2180, 5.2180, 5.2180 Å; angles 60.00, 60.00, 60.00 degrees
Last column: nearest neighbours and their distance in Å.
Element x y z (fractional)
Ca 0.0000 0.0000 0.0000  4 Pb 3.20, 4 Sc 3.20
Sc 0.2500 0.2500 0.2500  4 Ca 3.20, 4 Sc 3.20
Sc 0.5000 0.5000 0.5000  4 Pb 3.20, 4 Sc 3.20
Pb 0.7500 0.7500 0.7500  4 Ca 3.20, 4 Sc 3.20